<one>
A plane-wave DFT calculation with PBE was carried out for crystalline La3CuN at its relaxed geometry.

Cell: 5.0441 5.0441 5.0441 Å, 90.00 90.00 90.00°
With the nearest neighbours (Å) after each atom.
Positions (direct):
La  0.0000  0.0000  0.5000  2 N 2.52
La  0.0000  0.5000  0.0000  2 N 2.52
La  0.5000  0.0000  0.0000  2 N 2.52
Cu  0.5000  0.5000  0.5000  12 La 3.57
N  0.0000  0.0000  0.0000  6 La 2.52

Computed properties:
V = 25.667 A^3/atom
space-group type = Pm-3m, No. 221


<two>
A plane-wave DFT calculation with PBE was carried out for crystalline La3CuN at its relaxed geometry.

Cell: 5.1283 6.9863 6.9864 Å, 90.00 90.00 90.00°
With the nearest neighbours (Å) after each atom.
Positions (direct):
La  0.0000  0.2494  0.3610  2 N 2.56
La  0.0000  0.7506  0.8610  2 N 2.56
La  0.5000  0.0663  0.6776  2 N 2.55
La  0.5000  0.5656  0.5457  2 N 2.56
La  0.5000  0.9337  0.1776  2 N 2.55
La  0.5000  0.4344  0.0457  2 N 2.56
N  0.5000  0.2496  0.3613  6 La 2.55-2.56
N  0.5000  0.7504  0.8613  6 La 2.55-2.56
Cu  0.0000  0.7480  0.3591  8 La 3.14-3.51
Cu  0.0000  0.2520  0.8591  8 La 3.14-3.51

Computed properties:
V = 25.031 A^3/atom
space-group type = Pmc2_1, No. 26


Winner for stability: <two>


<one>
A plane-wave DFT calculation with PBE was carried out for crystalline La4Cu2N at its relaxed geometry.

Cell: 3.8977 6.8129 7.3123 Å, 72.26 74.54 73.38°
With the nearest neighbours (Å) after each atom.
Positions (direct):
Cu  0.6172  0.4284  0.3373  1 Cu 2.68
Cu  0.3828  0.5716  0.6627  1 Cu 2.68
La  0.0835  0.1878  0.6452  1 N 2.50
La  0.6528  0.7606  0.9339  2 N 2.61
La  0.3472  0.2394  0.0661  2 N 2.61
La  0.9165  0.8122  0.3548  1 N 2.50
N  0.0000  0.0000  0.0000  6 La 2.50-2.61

Computed properties:
V = 24.823 A^3/atom
space-group type = C2/m, No. 12


<two>
A plane-wave DFT calculation with PBE was carried out for crystalline La4Cu2N at its relaxed geometry.

Cell: 5.0829 5.0829 7.9711 Å, 71.41 71.41 90.00°
With the nearest neighbours (Å) after each atom.
Positions (direct):
La  0.5000  0.0000  0.0000  2 N 2.54
La  0.1814  0.1814  0.6372  1 N 2.58, 1 Cu 2.83
La  0.8186  0.8186  0.3628  1 N 2.58, 1 Cu 2.83
La  0.0000  0.5000  0.0000  2 N 2.54
N  0.0000  0.0000  0.0000  6 La 2.54-2.58
Cu  0.6196  0.6196  0.7608  5 La 2.83-3.06
Cu  0.3804  0.3804  0.2392  5 La 2.83-3.06

Computed properties:
V = 26.260 A^3/atom
space-group type = I4/mmm, No. 139


Winner for stability: <one>